(1)
LaSn3Ge | PBE-GGA | relaxed

Cell: 5.961 5.961 5.961 Å, 90.00 90.00 90.00°
Space group Pm-3m (No. 221)
Inequivalent atoms, fractional coordinates:
La 0.000 0.000 0.000 [1 per cell]
Sn 0.000 0.000 0.500 [3 per cell]
Ge 0.500 0.500 0.500 [1 per cell]

Results
Uncorrected energy = -3.41 eV per atom
D(E_F) = 4.95 states/eV/f.u.



(2)
ZnInPCl2 | PBE-GGA | relaxed

Cell: 4.487 4.487 9.229 Å, 90.00 90.00 90.00°
Space group P4/mmm (No. 123)
Inequivalent atoms, fractional coordinates:
Zn 0.000 0.000 0.000 [1 per cell]
In 0.000 0.000 0.500 [1 per cell]
P 0.500 0.500 0.500 [1 per cell]
Cl 0.000 0.500 0.000 [2 per cell]

Results
D(E_F) = 1.84 states/eV/f.u.
Raw formation energy = 0.0502 eV per atom



(3)
Pm3Br7 | PBE-GGA | relaxed

Cell: 9.7512 9.7512 6.9901 Å, 90.00 90.00 120.00°
Space group P6_3mc (No. 186)
Inequivalent atoms, fractional coordinates:
Pm 0.2037 0.4074 0.0000 [6 per cell]
Br 0.0759 0.5379 0.3026 [6 per cell]
Br 0.1233 0.2465 0.6222 [6 per cell]
Br 0.3333 0.6667 0.7225 [2 per cell]

Results
D(E_F) = 0.32 states/eV/f.u.
Raw formation energy = -1.6382 eV per atom